Entry 1:
The following is a DFT calculation (meta-GGA SCAN) of SnHPbI2 at its PBEsol-relaxed geometry.

Calculated values
E (eV/atom): -37.186
DOS(E_F) (states/eV/atom): 0.59
Crystal system: tetragonal
V (Å³/cell): 218

```
5
Lattice="6.040 0.000 0.000 0.000 6.040 0.000 0.000 0.000 5.968" Properties=species:S:1:pos:R:3 pbc="T T T"
Sn 0.000 0.000 0.000
H 3.020 3.020 2.984
Pb 0.000 0.000 2.984
I 0.000 3.020 0.000
I 3.020 0.000 0.000
```

Entry 2:
The following is a DFT calculation (meta-GGA SCAN) of Cd7Hg at its PBEsol-relaxed geometry.

Calculated values
DOS(E_F) (states/eV/atom): 0.29
Crystal system: cubic
V (Å³/cell): 168
Formation energy from the elements (eV/atom): 0.016

```
8
Lattice="0.000 4.377 4.377 4.377 0.000 4.377 4.377 4.377 0.000" Properties=species:S:1:pos:R:3 pbc="T T T"
Cd 0.000 0.000 0.000
Cd 2.189 2.189 0.000
Cd 2.189 0.000 2.189
Cd 4.377 2.189 2.189
Cd 0.000 2.189 2.189
Cd 2.189 4.377 2.189
Cd 2.189 2.189 4.377
Hg 4.377 4.377 4.377
```

Entry 3:
The following is a DFT calculation (meta-GGA SCAN) of Mg2OsS6 at its PBEsol-relaxed geometry.

Calculated values
DOS(E_F) (states/eV/atom): 0.37
Crystal system: cubic
V (Å³/cell): 165
Formation energy without anion corrections (meV per atom): 52.4

```
9
Lattice="0.000 4.357 4.357 4.357 0.000 4.357 4.357 4.357 0.000" Properties=species:S:1:pos:R:3 pbc="T T T"
Mg 2.178 2.178 2.178
Mg 6.535 6.535 6.535
Os 0.000 0.000 0.000
S 4.357 4.357 2.308
S 4.357 2.308 4.357
S 6.406 4.357 4.357
S 2.308 4.357 4.357
S 4.357 6.406 4.357
S 4.357 4.357 6.406
```

Entry 4:
The following is a DFT calculation (meta-GGA SCAN) of CsCuN at its PBEsol-relaxed geometry.

Calculated values
DOS(E_F) (states/eV/atom): 0.42
Crystal system: hexagonal
V (Å³/cell): 88
Formation energy without anion corrections (meV per atom): 251.7

```
3
Lattice="5.390 0.000 0.000 -2.695 4.668 0.000 0.000 0.000 3.479" Properties=species:S:1:pos:R:3 pbc="T T T"
Cs 0.000 0.000 0.000
Cu 0.000 3.112 1.739
N 0.000 3.112 0.000
```

Entry 5:
The following is a DFT calculation (meta-GGA SCAN) of SiAg2AuC at its PBEsol-relaxed geometry.

Calculated values
DOS(E_F) (states/eV/atom): 0.42
Crystal system: tetragonal
V (Å³/cell): 75
Formation energy without anion corrections (meV per atom): 731.0

```
5
Lattice="4.549 0.000 0.000 0.000 4.549 0.000 0.000 0.000 3.623" Properties=species:S:1:pos:R:3 pbc="T T T"
Si 0.000 0.000 0.000
Ag 0.000 2.274 1.812
Ag 2.274 0.000 1.812
Au 2.274 2.274 0.000
C 0.000 0.000 1.812
```

Entry 6:
The following is a DFT calculation (meta-GGA SCAN) of Co4ReMo at its PBEsol-relaxed geometry.

Calculated values
DOS(E_F) (states/eV/atom): 0.69
Crystal system: cubic
V (Å³/cell): 68
Formation energy from the elements (eV/atom): 0.098

```
6
Lattice="0.000 3.247 3.247 3.247 0.000 3.247 3.247 3.247 0.000" Properties=species:S:1:pos:R:3 pbc="T T T"
Co 0.810 0.810 0.810
Co 2.437 2.437 0.810
Co 2.437 0.810 2.437
Co 0.810 2.437 2.437
Re 4.870 4.870 4.870
Mo 3.247 3.247 3.247
```

Entry 7:
The following is a DFT calculation (meta-GGA SCAN) of InReTc at its PBEsol-relaxed geometry.

Calculated values
DOS(E_F) (states/eV/atom): 0.62
Crystal system: orthorhombic
V (Å³/cell): 49
Formation energy from the elements (eV/atom): 0.440

```
3
Lattice="0.000 2.384 6.935 1.474 0.000 6.935 1.474 2.384 0.000" Properties=species:S:1:pos:R:3 pbc="T T T"
In 0.000 0.000 0.000
Re 1.474 2.384 9.401
Tc 1.474 2.384 4.531
```

Entry 8:
The following is a DFT calculation (meta-GGA SCAN) of LiAl2Pd2 at its PBEsol-relaxed geometry.

Calculated values
DOS(E_F) (states/eV/atom): 0.26
Crystal system: tetragonal
V (Å³/cell): 150
Formation energy from the elements (eV/atom): -0.905

```
10
Lattice="7.313 0.000 0.000 0.000 7.313 0.000 0.000 0.000 2.810" Properties=species:S:1:pos:R:3 pbc="T T T"
Li 0.000 0.000 0.000
Li 3.656 3.656 0.000
Al 1.091 2.565 1.405
Al 2.565 6.222 1.405
Al 4.748 1.091 1.405
Al 6.222 4.748 1.405
Pd 1.077 4.734 0.000
Pd 2.579 1.077 0.000
Pd 4.734 6.236 0.000
Pd 6.236 2.579 0.000
```